{
  "formula": "NpGaAgAu",
  "functional": "PBE",
  "state": "optimized geometry",
  "crystal_system": "cubic",
  "dft_energy_ry_per_atom": -0.404,
  "cell": [[4.900, 0.000, 0.000], [2.450, 4.243, 0.000], [2.450, 1.414, 4.001]],
  "species": ["Au", "Ga", "Ag", "Np"],
  "fractional_positions": [[0.750, 0.750, 0.750], [0.000, 0.000, 0.000], [0.250, 0.250, 0.250], [0.500, 0.500, 0.500]]
}